Computed, not measured: an optimized crystal structure of LuFeHg at the PBE level of DFT.

Structure (POSCAR):
```
LuFeHg
1.0
0.0000 3.2105 3.2105
3.2105 0.0000 3.2105
3.2105 3.2105 0.0000
Hg Lu Fe
1 1 1
direct
0.2500 0.2500 0.2500
0.7500 0.7500 0.7500
0.0000 0.0000 0.0000
```

## Properties
- Space group: F-43m
- E_form: 0.238 eV per atom
- Magnetization: 1.8 μB per cell